DFT (PBE) results for crystalline LiCr2Mo at its relaxed geometry.

Cell: 2.502 4.269 4.885 Å, 90.00 98.05 90.00°
Sites, in units of the cell vectors:
Li  0.000  0.000  0.000
Cr  0.250  0.500  0.751
Cr  0.750  0.500  0.249
Mo  0.500  0.000  0.500

Calculated values
Energy relative to the lowest polymorph listed for this composition   0.096 eV/atom
E_form   0.39 eV/atom

DFT (PBE) results for crystalline Tb9ErMg2 at its relaxed geometry.

Cell: 4.946 4.946 14.906 Å, 90.00 90.00 90.00°
Sites, in units of the cell vectors:
Tb  0.000  0.000  0.000
Tb  0.000  0.000  0.336
Tb  0.000  0.000  0.664
Tb  0.000  0.500  0.169
Tb  0.000  0.500  0.500
Tb  0.000  0.500  0.831
Tb  0.500  0.000  0.169
Tb  0.500  0.000  0.500
Tb  0.500  0.000  0.831
Er  0.500  0.500  0.000
Mg  0.500  0.500  0.337
Mg  0.500  0.500  0.663

Calculated values
E_form   0.02 eV/atom

DFT (PBE) results for crystalline AlRe2Hg at its relaxed geometry.

Cell: 2.750 2.750 8.588 Å, 90.00 90.00 90.00°
Sites, in units of the cell vectors:
Al  0.000  0.000  0.000
Re  0.500  0.500  0.227
Re  0.500  0.500  0.773
Hg  0.000  0.000  0.500

Calculated values
Energy relative to the lowest polymorph listed for this composition   0.440 eV/atom
E_form   0.59 eV/atom

DFT (PBE) results for crystalline Mn2ReRu at its relaxed geometry.

Cell: 2.637 2.637 8.390 Å, 90.00 90.00 112.47°
Sites, in units of the cell vectors:
Mn  0.000  0.000  0.000
Mn  0.500  0.500  0.238
Re  0.000  0.000  0.480
Ru  0.500  0.500  0.753

Calculated values
E_form   0.29 eV/atom

DFT (PBE) results for crystalline Sr4TlTe5 at its relaxed geometry.

Cell: 17.253 17.253 17.253 Å, 164.33 164.33 22.22°
Sites, in units of the cell vectors:
Sr  0.101  0.101  0.000
Sr  0.300  0.300  0.000
Sr  0.700  0.700  0.000
Sr  0.899  0.899  0.000
Tl  0.500  0.500  0.000
Te  0.000  0.000  0.000
Te  0.200  0.200  0.000
Te  0.399  0.399  0.000
Te  0.601  0.601  0.000
Te  0.800  0.800  0.000

Calculated values
Uncorrected formation energy   -1.404 eV per atom

DFT (PBE) results for crystalline CaAc2F8 at its relaxed geometry.

Cell: 7.591 7.591 5.758 Å, 111.21 111.21 31.95°
Sites, in units of the cell vectors:
Ca  0.000  0.000  0.000
Ac  0.335  0.335  0.332
Ac  0.665  0.665  0.668
F  0.096  0.096  0.422
F  0.162  0.162  0.955
F  0.284  0.284  0.697
F  0.484  0.484  0.219
F  0.516  0.516  0.781
F  0.716  0.716  0.303
F  0.838  0.838  0.045
F  0.904  0.904  0.578

Calculated values
Uncorrected formation energy   -4.111 eV per atom

DFT (PBE) results for crystalline In2ReHg at its relaxed geometry.

Cell: 9.611 9.611 9.611 Å, 19.10 19.10 19.10°
Sites, in units of the cell vectors:
In  0.243  0.243  0.243
In  0.757  0.757  0.757
Re  0.500  0.500  0.500
Hg  0.000  0.000  0.000

Calculated values
E_form   0.51 eV/atom

DFT (PBE) results for crystalline TcSb2Se at its relaxed geometry.

Cell: 6.907 6.907 4.402 Å, 107.81 107.81 27.08°
Sites, in units of the cell vectors:
Tc  0.000  0.000  0.000
Sb  0.324  0.324  0.820
Sb  0.676  0.676  0.180
Se  0.500  0.500  0.500

Calculated values
Uncorrected formation energy   0.224 eV per atom

DFT (PBE) results for crystalline AsIr3 at its relaxed geometry.

Cell: 4.561 5.588 4.728 Å, 90.00 90.00 90.00°
Sites, in units of the cell vectors:
As  0.250  0.250  0.194
As  0.750  0.750  0.806
Ir  0.250  0.003  0.693
Ir  0.250  0.497  0.693
Ir  0.250  0.750  0.206
Ir  0.750  0.250  0.794
Ir  0.750  0.503  0.307
Ir  0.750  0.997  0.307

Calculated values
Energy relative to the lowest polymorph listed for this composition   0.237 eV/atom
E_form   0.31 eV/atom

DFT (PBE) results for crystalline Mg2Ga at its relaxed geometry.

Cell: 7.772 3.504 9.013 Å, 90.00 90.00 90.00°
Sites, in units of the cell vectors:
Mg  0.046  0.250  0.150
Mg  0.124  0.250  0.585
Mg  0.376  0.750  0.085
Mg  0.454  0.750  0.650
Mg  0.546  0.250  0.350
Mg  0.624  0.250  0.915
Mg  0.876  0.750  0.415
Mg  0.954  0.750  0.850
Ga  0.244  0.750  0.365
Ga  0.256  0.250  0.865
Ga  0.744  0.750  0.135
Ga  0.756  0.250  0.635

Calculated values
E_form   -0.13 eV/atom

DFT (PBE) results for crystalline RbLi2Tl at its relaxed geometry.

Cell: 10.668 10.668 10.668 Å, 149.53 149.53 43.64°
Sites, in units of the cell vectors:
Rb  0.375  0.625  0.750
Rb  0.625  0.375  0.250
Li  0.000  0.000  0.000
Li  0.000  0.000  0.500
Li  0.000  0.500  0.000
Li  0.500  0.000  0.500
Tl  0.125  0.875  0.250
Tl  0.875  0.125  0.750

Calculated values
Energy relative to the lowest polymorph listed for this composition   0.150 eV/atom
E_form   0.09 eV/atom

DFT (PBE) results for crystalline K3PaBi2Se6 at its relaxed geometry.

Cell: 7.614 7.614 7.974 Å, 99.12 99.12 120.03°
Sites, in units of the cell vectors:
K  0.000  0.000  0.000
K  0.327  0.673  0.000
K  0.673  0.327  0.000
Pa  0.500  0.500  0.500
Bi  0.166  0.834  0.500
Bi  0.834  0.166  0.500
Se  0.110  0.431  0.292
Se  0.249  0.249  0.709
Se  0.431  0.110  0.292
Se  0.569  0.890  0.708
Se  0.751  0.751  0.291
Se  0.890  0.569  0.708

Calculated values
Uncorrected formation energy   -0.963 eV per atom

DFT (PBE) results for crystalline Na3SbTe at its relaxed geometry.

Cell: 5.213 9.119 6.489 Å, 90.00 96.64 90.00°
Sites, in units of the cell vectors:
Na  0.216  0.000  0.296
Na  0.263  0.244  0.717
Na  0.269  0.400  0.239
Na  0.731  0.900  0.761
Na  0.737  0.744  0.283
Na  0.784  0.500  0.704
Sb  0.271  0.673  0.557
Sb  0.729  0.173  0.443
Te  0.204  0.722  0.004
Te  0.796  0.222  0.996

Calculated values
Energy relative to the lowest polymorph listed for this composition   0.000 eV/atom
Uncorrected formation energy   -0.527 eV per atom

Summary of theoretical density in kg/m3
6652 7496 15338 12230 5291 6595 12317 7693 17960 3203 3240 5425 3450
(order as listed above)
Summary of total magnetic moment in μB/cell
0.00 0.00 0.00 4.11 0.00 0.00 0.00 0.00 0.00 0.00 0.00 1.65 0.00
(order as listed above)